[1]
Here is crystalline Cs2BaTa2 at its relaxed geometry from Alexandria via LeMat-Bulk. Energies are from GGA-PBEsol.

Cell and atoms, written as extended XYZ:
```
5
Lattice="-1.874 1.874 15.232 1.874 -1.874 15.232 1.874 1.874 -15.232" Properties=species:S:1:pos:R:3 pbc="T T T"
Cs 0.000 0.000 4.140
Cs 0.000 0.000 26.324
Ba 0.000 0.000 15.232
Ta 1.874 0.000 7.616
Ta 0.000 1.874 7.616
```

Calculated values
**V**: 213.9 Å³/cell
**Symmetry**: I4/mmm
**ΔH_f (0 K)**: 1.038 eV/atom


[2]
Here is crystalline YSc3 at its relaxed geometry from Alexandria via LeMat-Bulk. Energies are from GGA-PBEsol.

Cell and atoms, written as extended XYZ:
```
4
Lattice="3.352 0.000 0.000 -1.676 2.903 0.000 0.000 0.000 10.377" Properties=species:S:1:pos:R:3 pbc="T T T"
Y 0.000 0.000 0.000
Sc 0.000 0.000 5.189
Sc 0.000 1.935 2.706
Sc 0.000 1.935 7.672
```

Calculated values
**Relative energy among the computed polymorphs**: 0.0107 eV/atom
**V**: 101.0 Å³/cell
**Symmetry**: P-6m2
**ΔH_f (0 K)**: 0.030 eV/atom


[3]
Here is crystalline PdC at its relaxed geometry from Alexandria via LeMat-Bulk. Energies are from GGA-PBEsol.

Cell and atoms, written as extended XYZ:
```
2
Lattice="0.000 2.324 2.324 2.324 0.000 2.324 2.324 2.324 0.000" Properties=species:S:1:pos:R:3 pbc="T T T"
Pd 0.000 0.000 0.000
C 3.486 3.486 3.486
```

Calculated values
**V**: 25.1 Å³/cell
**Symmetry**: F-43m
**ΔH_f (0 K)**: 1.165 eV/atom


[4]
Here is crystalline Ba3Au at its relaxed geometry from Alexandria via LeMat-Bulk. Energies are from GGA-PBEsol.

Cell and atoms, written as extended XYZ:
```
4
Lattice="4.424 0.000 0.000 -2.212 3.831 0.000 0.000 0.000 11.427" Properties=species:S:1:pos:R:3 pbc="T T T"
Ba 0.000 0.000 0.000
Ba 0.000 2.554 3.697
Ba 0.000 2.554 7.730
Au 0.000 0.000 5.714
```

Calculated values
**V**: 193.7 Å³/cell
**Symmetry**: P-6m2
**ΔH_f (0 K)**: -0.262 eV/atom


[5]
Here is crystalline TiFeH2 at its relaxed geometry from Alexandria via LeMat-Bulk. Energies are from GGA-PBEsol.

Cell and atoms, written as extended XYZ:
```
8
Lattice="3.013 -3.457 0.000 3.013 3.457 0.000 0.000 0.000 2.750" Properties=species:S:1:pos:R:3 pbc="T T T"
Ti 3.013 1.959 0.000
Ti 3.013 -1.959 0.000
Fe 1.772 0.000 1.375
Fe 4.254 0.000 1.375
H 0.000 0.000 1.375
H 1.507 1.728 1.375
H 1.507 -1.728 1.375
H 3.013 0.000 0.000
```

Calculated values
**Relative energy among the computed polymorphs**: 0.0000 eV/atom
**V**: 57.3 Å³/cell
**Symmetry**: Cmmm


[6]
Here is crystalline Dy2Nb2O7 at its relaxed geometry from Alexandria via LeMat-Bulk. Energies are from GGA-PBEsol.

Cell and atoms, written as extended XYZ:
```
22
Lattice="0.000 5.124 5.124 5.124 0.000 5.124 5.124 5.124 0.000" Properties=species:S:1:pos:R:3 pbc="T T T"
Dy 0.000 0.000 0.000
Dy 2.562 2.562 0.000
Dy 2.562 0.000 2.562
Dy 0.000 2.562 2.562
Nb 5.124 2.562 2.562
Nb 2.562 5.124 2.562
Nb 2.562 2.562 5.124
Nb 5.124 5.124 5.124
O 1.281 1.281 1.281
O 3.843 3.843 1.569
O 3.843 1.569 3.843
O 6.118 3.843 3.843
O 6.406 6.406 4.131
O 6.406 4.131 6.406
O 8.680 6.406 6.406
O 1.569 3.843 3.843
O 3.843 6.118 3.843
O 3.843 3.843 6.118
O 4.131 6.406 6.406
O 6.406 8.680 6.406
O 6.406 6.406 8.680
O 8.968 8.968 8.968
```

Calculated values
**Formation energy from raw total energies**: -2996 meV per atom
**V**: 269.1 Å³/cell
**Symmetry**: Fd-3m


[7]
Here is crystalline Li8BiS6 at its relaxed geometry from Alexandria via LeMat-Bulk. Energies are from GGA-PBEsol.

Cell and atoms, written as extended XYZ:
```
15
Lattice="3.414 1.971 6.332 -3.414 1.971 6.332 0.000 -3.942 6.332" Properties=species:S:1:pos:R:3 pbc="T T T"
Li -1.233 -1.986 7.182
Li 0.000 0.000 3.030
Li -2.337 0.075 11.814
Li -1.104 2.061 7.182
Li 1.104 -2.061 11.814
Li 2.337 -0.075 7.182
Li 0.000 0.000 15.967
Li 1.233 1.986 11.814
Bi 0.000 0.000 9.498
S -2.230 0.062 7.941
S -1.169 -1.900 11.055
S 1.061 -1.962 7.941
S -1.061 1.962 11.055
S 1.169 1.900 7.941
S 2.230 -0.062 11.055
```

Calculated values
**Relative energy among the computed polymorphs**: 0.0000 eV/atom
**Formation energy from raw total energies**: -1073 meV per atom
**V**: 255.7 Å³/cell
**Symmetry**: R-3


[8]
Here is crystalline K3GaSe3 at its relaxed geometry from Alexandria via LeMat-Bulk. Energies are from GGA-PBEsol.

Cell and atoms, written as extended XYZ:
```
28
Lattice="8.017 0.000 0.000 0.000 12.992 0.000 -6.259 0.000 8.233" Properties=species:S:1:pos:R:3 pbc="T T T"
K -1.904 1.497 3.902
K -5.034 4.999 8.018
K -4.247 1.333 7.392
K -1.117 5.163 3.276
K -0.733 8.931 4.714
K 2.397 10.557 0.598
K -0.640 2.435 7.635
K 2.490 4.061 3.518
K 2.875 7.829 4.957
K 6.004 11.659 0.840
K 6.791 7.993 0.214
K 3.661 11.495 4.331
Ga 1.415 0.846 2.763
Ga -1.714 5.650 6.879
Ga 3.472 7.342 1.353
Ga 0.342 12.146 5.469
Se 0.100 2.461 1.589
Se -3.030 4.035 5.706
Se -2.786 7.847 7.148
Se 0.344 11.641 3.032
Se 1.264 7.161 2.217
Se -1.865 12.328 6.334
Se 3.623 0.665 1.899
Se 0.493 5.832 6.015
Se 1.414 1.351 5.201
Se 4.543 5.145 1.084
Se 4.787 8.958 2.527
Se 1.657 10.531 6.643
```

Calculated values
**Formation energy from raw total energies**: -1064 meV per atom
**V**: 857.4 Å³/cell
**Symmetry**: P2_1/c


[9]
Here is crystalline InMoP4 at its relaxed geometry from Alexandria via LeMat-Bulk. Energies are from GGA-PBEsol.

Cell and atoms, written as extended XYZ:
```
6
Lattice="0.000 3.578 3.578 3.578 0.000 3.578 3.578 3.578 0.000" Properties=species:S:1:pos:R:3 pbc="T T T"
In 0.000 0.000 0.000
Mo 1.789 1.789 1.789
P 4.452 2.705 2.705
P 2.705 4.452 2.705
P 2.705 2.705 4.452
P 4.452 4.452 4.452
```

Calculated values
**V**: 91.6 Å³/cell
**Symmetry**: F-43m
**ΔH_f (0 K)**: 0.658 eV/atom


[10]
Here is crystalline CdAs2O6 at its relaxed geometry from Alexandria via LeMat-Bulk. Energies are from GGA-PBEsol.

Cell and atoms, written as extended XYZ:
```
9
Lattice="4.878 0.000 0.000 -2.439 4.225 0.000 0.000 0.000 4.888" Properties=species:S:1:pos:R:3 pbc="T T T"
Cd 0.000 0.000 0.000
As 0.000 2.817 2.444
As 2.439 1.408 2.444
O -0.916 1.587 1.408
O -1.523 2.638 3.479
O 1.832 0.000 1.408
O 0.916 1.587 3.479
O 3.046 0.000 3.479
O 1.523 2.638 1.408
```

Calculated values
**Formation energy from raw total energies**: -1287 meV per atom
**V**: 100.7 Å³/cell
**Symmetry**: P-31m


[11]
Here is crystalline Li2BF5 at its relaxed geometry from Alexandria via LeMat-Bulk. Energies are from GGA-PBEsol.

Cell and atoms, written as extended XYZ:
```
16
Lattice="-2.596 2.596 5.919 2.596 -2.596 5.919 2.596 2.596 -5.919" Properties=species:S:1:pos:R:3 pbc="T T T"
Li 0.000 0.000 0.000
Li 1.298 1.298 -2.959
Li 1.298 -1.298 2.959
Li 0.000 2.596 0.000
B 2.596 1.298 1.480
B 0.000 1.298 4.439
F 2.596 -1.298 4.439
F 2.596 0.140 2.277
F 1.438 1.298 0.682
F 3.754 1.298 0.682
F 0.000 0.140 3.641
F 2.596 2.456 2.277
F -1.158 1.298 5.237
F 1.158 1.298 5.237
F 0.000 2.456 3.641
F 0.000 3.894 1.480
```

Calculated values
**Formation energy from raw total energies**: -2957 meV per atom
**V**: 159.5 Å³/cell
**Symmetry**: I4_1/amd


[12]
Here is crystalline TlNi2Ag at its relaxed geometry from Alexandria via LeMat-Bulk. Energies are from GGA-PBEsol.

Cell and atoms, written as extended XYZ:
```
4
Lattice="1.485 0.857 8.024 -1.485 0.857 8.024 0.000 -1.715 8.024" Properties=species:S:1:pos:R:3 pbc="T T T"
Tl 0.000 0.000 0.000
Ni 0.000 0.000 6.004
Ni 0.000 0.000 18.069
Ag 0.000 0.000 12.037
```

Calculated values
**Relative energy among the computed polymorphs**: 0.1880 eV/atom
**V**: 61.3 Å³/cell
**Symmetry**: R-3m
**ΔH_f (0 K)**: 0.433 eV/atom


[13]
Here is crystalline Ti2Si2P at its relaxed geometry from Alexandria via LeMat-Bulk. Energies are from GGA-PBEsol.

Cell and atoms, written as extended XYZ:
```
10
Lattice="6.427 0.000 0.000 0.000 6.427 0.000 0.000 0.000 3.650" Properties=species:S:1:pos:R:3 pbc="T T T"
Ti 1.123 2.091 0.000
Ti 2.091 5.304 0.000
Ti 4.336 1.123 0.000
Ti 5.304 4.336 0.000
Si 0.827 4.041 1.825
Si 2.386 0.827 1.825
Si 4.041 5.600 1.825
Si 5.600 2.386 1.825
P 0.000 0.000 0.000
P 3.214 3.214 0.000
```

Calculated values
**Formation energy from raw total energies**: -620 meV per atom
**V**: 150.8 Å³/cell
**Symmetry**: P4/mbm


[14]
Here is crystalline MgSc2Al at its relaxed geometry from Alexandria via LeMat-Bulk. Energies are from GGA-PBEsol.

Cell and atoms, written as extended XYZ:
```
4
Lattice="3.159 0.000 0.000 0.000 3.159 0.000 0.000 0.000 8.326" Properties=species:S:1:pos:R:3 pbc="T T T"
Mg 0.000 0.000 0.000
Sc 1.579 1.579 2.278
Sc 1.579 1.579 6.048
Al 0.000 0.000 4.163
```

Calculated values
**Relative energy among the computed polymorphs**: 0.0305 eV/atom
**V**: 83.1 Å³/cell
**Symmetry**: P4/mmm
**ΔH_f (0 K)**: -0.259 eV/atom


[15]
Here is crystalline Si2AgW at its relaxed geometry from Alexandria via LeMat-Bulk. Energies are from GGA-PBEsol.

Cell and atoms, written as extended XYZ:
```
4
Lattice="4.212 0.000 0.000 0.000 4.212 0.000 0.000 0.000 3.229" Properties=species:S:1:pos:R:3 pbc="T T T"
Si 0.000 2.106 0.000
Si 2.106 0.000 0.000
Ag 0.000 0.000 1.614
W 2.106 2.106 1.614
```

Calculated values
**Formation energy from raw total energies**: 243 meV per atom
**V**: 57.3 Å³/cell
**Symmetry**: P4/mmm


[16]
Here is crystalline SrGeP2S at its relaxed geometry from Alexandria via LeMat-Bulk. Energies are from GGA-PBEsol.

Cell and atoms, written as extended XYZ:
```
5
Lattice="5.264 0.000 0.000 0.000 5.264 0.000 0.000 0.000 5.262" Properties=species:S:1:pos:R:3 pbc="T T T"
Sr 0.000 0.000 0.000
Ge 2.632 2.632 2.631
P 0.000 2.632 0.000
P 2.632 0.000 0.000
S 0.000 0.000 2.631
```

Calculated values
**Formation energy from raw total energies**: 1156 meV per atom
**V**: 145.8 Å³/cell
**Symmetry**: P4/mmm


[17]
Here is crystalline SbMoOs2 at its relaxed geometry from Alexandria via LeMat-Bulk. Energies are from GGA-PBEsol.

Cell and atoms, written as extended XYZ:
```
4
Lattice="-1.529 2.268 4.527 1.529 -2.268 4.527 1.529 2.268 -4.527" Properties=species:S:1:pos:R:3 pbc="T T T"
Sb 0.000 0.000 0.000
Mo 0.000 2.268 2.361
Os 1.529 0.000 2.077
Os 0.000 0.000 4.506
```

Calculated values
**Formation energy from raw total energies**: 509 meV per atom
**V**: 62.8 Å³/cell
**Symmetry**: Imm2


[18]
Here is crystalline Sc2AlCl at its relaxed geometry from Alexandria via LeMat-Bulk. Energies are from GGA-PBEsol.

Cell and atoms, written as extended XYZ:
```
4
Lattice="3.307 0.000 0.000 0.000 4.400 0.000 0.000 0.000 5.409" Properties=species:S:1:pos:R:3 pbc="T T T"
Sc 0.000 0.000 0.000
Sc 1.653 2.200 2.704
Al 0.000 0.000 2.704
Cl 1.653 2.200 0.000
```

Calculated values
**Relative energy among the computed polymorphs**: 0.1232 eV/atom
**Formation energy from raw total energies**: -705 meV per atom
**V**: 78.7 Å³/cell
**Symmetry**: Pmmm


[19]
Here is crystalline RhPb2 at its relaxed geometry from Alexandria via LeMat-Bulk. Energies are from GGA-PBEsol.

Cell and atoms, written as extended XYZ:
```
6
Lattice="6.289 0.000 0.000 0.000 6.724 0.000 0.000 0.000 3.420" Properties=species:S:1:pos:R:3 pbc="T T T"
Rh 0.000 0.000 0.000
Rh 3.144 3.362 1.710
Pb 1.332 2.321 0.000
Pb 1.812 5.683 1.710
Pb 4.476 1.041 1.710
Pb 4.957 4.403 0.000
```

Calculated values
**V**: 144.6 Å³/cell
**Symmetry**: Pnnm
**ΔH_f (0 K)**: 0.011 eV/atom


[20]
Here is crystalline Cd3Pb5 at its relaxed geometry from Alexandria via LeMat-Bulk. Energies are from GGA-PBEsol.

Cell and atoms, written as extended XYZ:
```
8
Lattice="4.704 -4.930 0.000 4.704 4.930 0.000 0.000 0.000 4.624" Properties=species:S:1:pos:R:3 pbc="T T T"
Cd 0.000 0.000 0.000
Cd 4.704 2.493 2.312
Cd 4.704 -2.493 2.312
Pb 2.352 2.465 0.000
Pb 2.208 0.000 2.312
Pb 2.352 -2.465 0.000
Pb 4.704 0.000 0.000
Pb 7.200 0.000 2.312
```

Calculated values
**Relative energy among the computed polymorphs**: 0.0000 eV/atom
**V**: 214.5 Å³/cell
**Symmetry**: Cmmm
**ΔH_f (0 K)**: 0.055 eV/atom


One value per record, in order, for DFT total energy: -4.789; -6.630; -6.637; -2.855; -6.334; -9.209; -4.161; -3.677; -5.662; -6.054; -5.531; -4.131; -7.406; -5.013; -6.910; -3.393; -9.680; -5.533; -5.368; -2.893 eV/atom.